one) LiTi2PdN: optimized geometry, PBE.

```
5
Lattice="-1.514 4.103 -1.730 -4.030 -1.408 0.189 -0.388 1.699 4.369" Properties=species:S:1:pos:R:3 pbc="T T T"
Li -2.015 -0.704 0.095
Ti -0.757 2.051 -0.865
Ti -0.194 0.849 2.184
Pd 0.000 0.000 0.000
N -2.966 2.197 1.414
```

Summary:
**Total magnetic moment**: 0.001 μB/atom
**DOS(E_F)**: 1.346 states/eV per atom
**SG**: No. 123

---

two) LiTi2PdN: optimized geometry, PBE.

```
5
Lattice="4.095 0.000 0.000 0.000 3.895 0.000 0.000 0.000 4.095" Properties=species:S:1:pos:R:3 pbc="T T T"
Ti 2.047 0.000 0.000
Ti 0.000 0.000 2.047
Li 0.000 1.947 0.000
Pd 2.047 1.947 2.047
N 0.000 0.000 0.000
```

Summary:
**Total magnetic moment**: 0.000 μB/atom
**DOS(E_F)**: 0.538 states/eV per atom
**SG**: No. 123

---

Verdict on stability: one) comes out at the bottom.

---

one) LiPmN: optimized geometry, PBE.

```
9
Lattice="-0.436 3.289 -0.789 -2.692 1.057 5.893 6.480 0.664 -0.815" Properties=species:S:1:pos:R:3 pbc="T T T"
Pm 3.810 0.390 -0.479
Pm -1.583 0.622 3.465
Pm 1.561 0.709 2.093
Li 1.094 1.779 -0.560
Li 2.803 3.017 3.655
Li -0.763 1.859 0.799
N 0.147 2.571 3.262
N 0.000 0.000 0.000
N 3.205 2.440 1.026
```

Summary:
**Total magnetic moment**: 0.184 μB/atom
**DOS(E_F)**: 0.530 states/eV per atom
**SG**: No. 189

---

two) LiPmN: optimized geometry, PBE.

```
3
Lattice="-0.234 -3.378 1.528 2.590 -1.244 -2.355 1.202 3.134 2.597" Properties=species:S:1:pos:R:3 pbc="T T T"
Pm 1.397 0.483 1.281
N 1.830 -2.086 0.185
Li 3.175 -1.621 1.419
```

Summary:
**Total magnetic moment**: 0.000 μB/atom
**DOS(E_F)**: 0.632 states/eV per atom
**SG**: No. 107

---

three) LiPmN: optimized geometry, PBE.

```
3
Lattice="4.045 0.000 0.000 2.023 3.503 0.000 2.023 1.168 3.303" Properties=species:S:1:pos:R:3 pbc="T T T"
Li 4.045 2.335 1.651
Pm 0.000 0.000 0.000
N 2.023 1.168 0.826
```

Summary:
**Total magnetic moment**: 0.001 μB/atom
**DOS(E_F)**: 0.561 states/eV per atom
**SG**: No. 216

---

Verdict on stability: two) comes out at the bottom.